LiTb2Si: relaxed, PBE-GGA.

abc: 4.791 4.791 3.930
angles: 90.00 90.00 90.00
Space group P4/mmm (No. 123)
Inequivalent atoms, fractional coordinates:
Li 0.000 0.000 0.000 (multiplicity 1)
Tb 0.000 0.500 0.500 (multiplicity 2)
Si 0.500 0.500 0.000 (multiplicity 1)

Total magnetization (μB per cell): 0.00
ΔE_f (raw) (meV per atom): -339